VAsPd2: optimized geometry, PBE.

Its magnetization is 6.02 μB/cell. Its calculated volume is 16.312 Å³ per atom. The electronic total energy is -6.09 eV per atom. As for the crystal system: tetragonal.

The space group is I-42d (No. 122) and the conventional cell measures 3.782, 3.782 and 18.243 Å, with angles of 90.00, 90.00 and 90.00 degrees. The inequivalent atoms are V at (0.000, 0.000, 0.000), As at (0.000, 0.000, 0.500) and Pd at (0.248, 0.250, 0.625).